1.
Below is an optimized crystal structure of Cd5Cl, with properties calculated at the PBE-GGA level.

The structure in extended XYZ format:
```
6
Lattice="5.319 0.000 0.000 -2.660 4.607 0.000 0.000 0.000 5.876" Properties=species:S:1:pos:R:3 pbc="T T T"
Cd -1.775 3.074 0.000
Cd 0.885 1.533 0.000
Cd 0.000 3.071 2.938
Cd 3.550 0.000 0.000
Cd 2.660 1.536 2.938
Cl 0.000 0.000 2.938
```

- Total energy: -0.04094 hartree per atom
- Relative energy among the computed polymorphs: 0.1012 eV per atom
- Uncorrected formation energy: -0.04 eV/atom
- Space-group type: P-62m (189)

---

2.
Below is an optimized crystal structure of CdCl, with properties calculated at the PBE-GGA level.

The structure in extended XYZ format:
```
12
Lattice="11.308 0.000 0.000 -5.654 9.793 0.000 0.000 0.000 3.662" Properties=species:S:1:pos:R:3 pbc="T T T"
Cd -2.076 4.054 0.915
Cd -1.105 9.564 0.915
Cd 2.472 3.825 2.746
Cd 3.182 5.968 0.915
Cd 6.759 0.229 2.746
Cd 7.730 5.739 2.746
Cl -0.183 3.520 2.746
Cl -2.514 8.191 2.746
Cl 2.957 1.918 0.915
Cl 2.697 7.875 2.746
Cl 8.168 1.602 0.915
Cl 5.837 6.273 0.915
```

- Total energy: -0.07708 hartree per atom
- Uncorrected formation energy: -0.72 eV/atom
- Space-group type: P6_3/m (176)